--- P ---
## KCaP2 (SCAN)

Data for a PBEsol-optimized structure of KCaP2.

Results
M_tot ... 0.00 μB per atom
Fermi-level density of states ... 0.3298 states/eV/atom

Geometry as CIF:
```
data_KCaP2
_chemical_formula_sum 'K1 Ca1 P2'
_cell_length_a 3.710
_cell_length_b 3.966
_cell_length_c 6.653
_cell_angle_alpha 90.00
_cell_angle_beta 90.00
_cell_angle_gamma 90.00
_space_group_name_H-M_alt 'P m m m'
_space_group_IT_number 47
loop_
_space_group_symop_operation_xyz
'x,y,z'
'-x,-y,-z'
'-x,-y,z'
'x,y,-z'
'x,-y,-z'
'-x,y,z'
'-x,y,-z'
'x,-y,z'
loop_
_atom_site_label
_atom_site_fract_x
_atom_site_fract_y
_atom_site_fract_z
_atom_site_occupancy
K1 0.000 0.000 0.000 1
Ca1 0.000 0.000 0.500 1
P1 0.500 0.500 0.336 1
```

--- Q ---
## KCaP2 (SCAN)

Data for a PBEsol-optimized structure of KCaP2.

Results
M_tot ... 0.01 μB per atom
Fermi-level density of states ... 0.4242 states/eV/atom

Geometry as CIF:
```
data_KCaP2
_chemical_formula_sum 'K2 Ca2 P4'
_cell_length_a 4.749
_cell_length_b 4.960
_cell_length_c 8.771
_cell_angle_alpha 90.00
_cell_angle_beta 90.00
_cell_angle_gamma 90.00
_space_group_name_H-M_alt 'C m m 2'
_space_group_IT_number 35
loop_
_space_group_symop_operation_xyz
'x,y,z'
'-x,-y,z'
'-x,y,z'
'x,-y,z'
'x+1/2,y+1/2,z'
'-x+1/2,-y+1/2,z'
'-x+1/2,y+1/2,z'
'x+1/2,-y+1/2,z'
loop_
_atom_site_label
_atom_site_fract_x
_atom_site_fract_y
_atom_site_fract_z
_atom_site_occupancy
K1 0.000 0.000 0.000 1
Ca1 0.000 0.500 0.418 1
P1 0.000 0.000 0.650 1
P2 0.000 0.500 0.725 1
```

Which structure is most stable? P, by 61.5 kJ/mol of atoms over the runner-up.

--- P ---
## K2CaRe (SCAN)

Data for a PBEsol-optimized structure of K2CaRe.

Results
M_tot ... 0.00 μB per atom
Fermi-level density of states ... 0.7872 states/eV/atom

Geometry as CIF:
```
data_K2CaRe
_chemical_formula_sum 'K2 Ca1 Re1'
_cell_length_a 2.935
_cell_length_b 2.935
_cell_length_c 12.970
_cell_angle_alpha 90.00
_cell_angle_beta 90.00
_cell_angle_gamma 90.00
_space_group_name_H-M_alt 'P 4/m m m'
_space_group_IT_number 123
_space_group_name_Hall '-P 4 2'
loop_
_atom_site_label
_atom_site_fract_x
_atom_site_fract_y
_atom_site_fract_z
_atom_site_occupancy
K1 0.000 0.000 0.208 1
Ca1 0.500 0.500 0.500 1
Re1 0.500 0.500 0.000 1
```

--- Q ---
## K2CaRe (SCAN)

Data for a PBEsol-optimized structure of K2CaRe.

Results
M_tot ... 0.00 μB per atom
Fermi-level density of states ... 0.7673 states/eV/atom

Geometry as CIF:
```
data_K2CaRe
_chemical_formula_sum 'K2 Ca1 Re1'
_cell_length_a 3.137
_cell_length_b 3.137
_cell_length_c 12.642
_cell_angle_alpha 90.00
_cell_angle_beta 90.00
_cell_angle_gamma 90.00
_space_group_name_H-M_alt 'P 4 m m'
_space_group_IT_number 99
loop_
_space_group_symop_operation_xyz
'x,y,z'
'-y,x,z'
'-x,-y,z'
'y,-x,z'
'-x,y,z'
'y,x,z'
'x,-y,z'
'-y,-x,z'
loop_
_atom_site_label
_atom_site_fract_x
_atom_site_fract_y
_atom_site_fract_z
_atom_site_occupancy
K1 0.000 0.000 0.000 1
K2 0.500 0.500 0.332 1
Ca1 0.500 0.500 0.699 1
Re1 0.000 0.000 0.538 1
```

--- R ---
## K2CaRe (SCAN)

Data for a PBEsol-optimized structure of K2CaRe.

Results
M_tot ... 0.00 μB per atom
Fermi-level density of states ... 0.7216 states/eV/atom

Geometry as CIF:
```
data_K2CaRe
_chemical_formula_sum 'K4 Ca2 Re2'
_cell_length_a 6.385
_cell_length_b 12.730
_cell_length_c 2.926
_cell_angle_alpha 90.00
_cell_angle_beta 115.66
_cell_angle_gamma 90.00
_space_group_name_H-M_alt 'C 1 2/m 1'
_space_group_IT_number 12
loop_
_space_group_symop_operation_xyz
'x,y,z'
'-x,-y,-z'
'-x,y,-z'
'x,-y,z'
'x+1/2,y+1/2,z'
'-x+1/2,-y+1/2,-z'
'-x+1/2,y+1/2,-z'
'x+1/2,-y+1/2,z'
loop_
_atom_site_label
_atom_site_fract_x
_atom_site_fract_y
_atom_site_fract_z
_atom_site_occupancy
K1 0.250 0.250 0.000 1
Ca1 0.000 0.000 0.500 1
Re1 0.000 0.500 0.500 1
```

Which structure is most stable? Q, by 23.2 kJ/mol of atoms over the runner-up.

--- P ---
## KCaRe2 (SCAN)

Data for a PBEsol-optimized structure of KCaRe2.

Results
M_tot ... 0.00 μB per atom
Fermi-level density of states ... 0.5586 states/eV/atom

Geometry as CIF:
```
data_KCaRe2
_chemical_formula_sum 'K1 Ca1 Re2'
_cell_length_a 3.370
_cell_length_b 4.110
_cell_length_c 5.378
_cell_angle_alpha 90.00
_cell_angle_beta 90.00
_cell_angle_gamma 90.00
_space_group_name_H-M_alt 'P m m m'
_space_group_IT_number 47
loop_
_space_group_symop_operation_xyz
'x,y,z'
'-x,-y,-z'
'-x,-y,z'
'x,y,-z'
'x,-y,-z'
'-x,y,z'
'-x,y,-z'
'x,-y,z'
loop_
_atom_site_label
_atom_site_fract_x
_atom_site_fract_y
_atom_site_fract_z
_atom_site_occupancy
K1 0.000 0.000 0.000 1
Ca1 0.500 0.500 0.000 1
Re1 0.000 0.500 0.500 1
Re2 0.500 0.000 0.500 1
```

--- Q ---
## KCaRe2 (SCAN)

Data for a PBEsol-optimized structure of KCaRe2.

Results
M_tot ... 0.00 μB per atom
Fermi-level density of states ... 0.5755 states/eV/atom

Geometry as CIF:
```
data_KCaRe2
_chemical_formula_sum 'K2 Ca2 Re4'
_cell_length_a 3.291
_cell_length_b 4.195
_cell_length_c 10.769
_cell_angle_alpha 90.00
_cell_angle_beta 90.00
_cell_angle_gamma 90.00
_space_group_name_H-M_alt 'I m m m'
_space_group_IT_number 71
_space_group_name_Hall '-I 2 2'
loop_
_atom_site_label
_atom_site_fract_x
_atom_site_fract_y
_atom_site_fract_z
_atom_site_occupancy
K1 0.000 0.000 0.000 1
Ca1 0.000 0.000 0.500 1
Re1 0.000 0.500 0.246 1
```

Which structure is most stable? Q, by 0.5 kJ/mol of atoms over the runner-up.

--- P ---
## KCa3Rh (SCAN)

Data for a PBEsol-optimized structure of KCa3Rh.

Results
M_tot ... 0.00 μB per atom
Fermi-level density of states ... 0.4404 states/eV/atom

Geometry as CIF:
```
data_KCa3Rh
_chemical_formula_sum 'K2 Ca6 Rh2'
_cell_length_a 9.063
_cell_length_b 4.098
_cell_length_c 10.170
_cell_angle_alpha 90.00
_cell_angle_beta 95.79
_cell_angle_gamma 90.00
_space_group_name_H-M_alt 'P 1 21/m 1'
_space_group_IT_number 11
loop_
_space_group_symop_operation_xyz
'x,y,z'
'-x,-y,-z'
'-x,y+1/2,-z'
'x,-y+1/2,z'
loop_
_atom_site_label
_atom_site_fract_x
_atom_site_fract_y
_atom_site_fract_z
_atom_site_occupancy
K1 0.233 0.250 0.052 1
Ca1 0.052 0.750 0.376 1
Ca2 0.274 0.750 0.697 1
Ca3 0.419 0.750 0.380 1
Rh1 0.251 0.250 0.508 1
```

--- Q ---
## KCa3Rh (SCAN)

Data for a PBEsol-optimized structure of KCa3Rh.

Results
M_tot ... 0.00 μB per atom
Fermi-level density of states ... 0.5355 states/eV/atom

Geometry as CIF:
```
data_KCa3Rh
_chemical_formula_sum 'K1 Ca3 Rh1'
_cell_length_a 5.616
_cell_length_b 5.616
_cell_length_c 5.616
_cell_angle_alpha 90.00
_cell_angle_beta 90.00
_cell_angle_gamma 90.00
_space_group_name_H-M_alt 'P m -3 m'
_space_group_IT_number 221
_space_group_name_Hall '-P 4 2 3'
loop_
_atom_site_label
_atom_site_fract_x
_atom_site_fract_y
_atom_site_fract_z
_atom_site_occupancy
K1 0.000 0.000 0.000 1
Ca1 0.000 0.500 0.500 1
Rh1 0.500 0.500 0.500 1
```

Which structure is most stable? P, by 1.1 kJ/mol of atoms over the runner-up.

--- P ---
## KCa2Ru (SCAN)

Data for a PBEsol-optimized structure of KCa2Ru.

Results
M_tot ... 0.00 μB per atom
Fermi-level density of states ... 0.8868 states/eV/atom

Geometry as CIF:
```
data_KCa2Ru
_chemical_formula_sum 'K4 Ca8 Ru4'
_cell_length_a 7.484
_cell_length_b 7.484
_cell_length_c 7.484
_cell_angle_alpha 90.00
_cell_angle_beta 90.00
_cell_angle_gamma 90.00
_space_group_name_H-M_alt 'F -4 3 m'
_space_group_IT_number 216
_space_group_name_Hall 'F -4 2 3'
loop_
_atom_site_label
_atom_site_fract_x
_atom_site_fract_y
_atom_site_fract_z
_atom_site_occupancy
K1 0.000 0.000 0.000 1
Ca1 0.000 0.000 0.500 1
Ca2 0.250 0.250 0.250 1
Ru1 0.250 0.250 0.750 1
```

--- Q ---
## KCa2Ru (SCAN)

Data for a PBEsol-optimized structure of KCa2Ru.

Results
M_tot ... 0.01 μB per atom
Fermi-level density of states ... 1.0507 states/eV/atom

Geometry as CIF:
```
data_KCa2Ru
_chemical_formula_sum 'K2 Ca4 Ru2'
_cell_length_a 3.384
_cell_length_b 4.665
_cell_length_c 17.398
_cell_angle_alpha 90.00
_cell_angle_beta 90.00
_cell_angle_gamma 90.00
_space_group_name_H-M_alt 'I m m 2'
_space_group_IT_number 44
loop_
_space_group_symop_operation_xyz
'x,y,z'
'-x,-y,z'
'-x,y,z'
'x,-y,z'
'x+1/2,y+1/2,z+1/2'
'-x+1/2,-y+1/2,z+1/2'
'-x+1/2,y+1/2,z+1/2'
'x+1/2,-y+1/2,z+1/2'
loop_
_atom_site_label
_atom_site_fract_x
_atom_site_fract_y
_atom_site_fract_z
_atom_site_occupancy
K1 0.000 0.000 0.000 1
Ca1 0.000 0.000 0.304 1
Ca2 0.000 0.500 0.162 1
Ru1 0.000 0.500 0.678 1
```

Which structure is most stable? Q, by 37.3 kJ/mol of atoms over the runner-up.

--- P ---
## KCaRu2 (SCAN)

Data for a PBEsol-optimized structure of KCaRu2.

Results
M_tot ... 0.00 μB per atom
Fermi-level density of states ... 0.7057 states/eV/atom

Geometry as CIF:
```
data_KCaRu2
_chemical_formula_sum 'K1 Ca1 Ru2'
_cell_length_a 2.924
_cell_length_b 3.697
_cell_length_c 9.189
_cell_angle_alpha 90.00
_cell_angle_beta 90.58
_cell_angle_gamma 90.00
_space_group_name_H-M_alt 'P 1 m 1'
_space_group_IT_number 6
loop_
_space_group_symop_operation_xyz
'x,y,z'
'x,-y,z'
loop_
_atom_site_label
_atom_site_fract_x
_atom_site_fract_y
_atom_site_fract_z
_atom_site_occupancy
K1 0.000 0.000 0.000 1
Ca1 0.522 0.500 0.583 1
Ru1 0.015 0.000 0.369 1
Ru2 0.511 0.500 0.274 1
```

--- Q ---
## KCaRu2 (SCAN)

Data for a PBEsol-optimized structure of KCaRu2.

Results
M_tot ... 0.00 μB per atom
Fermi-level density of states ... 1.0928 states/eV/atom

Geometry as CIF:
```
data_KCaRu2
_chemical_formula_sum 'K2 Ca2 Ru4'
_cell_length_a 10.347
_cell_length_b 3.961
_cell_length_c 6.843
_cell_angle_alpha 90.00
_cell_angle_beta 118.63
_cell_angle_gamma 90.00
_space_group_name_H-M_alt 'C 1 2/m 1'
_space_group_IT_number 12
loop_
_space_group_symop_operation_xyz
'x,y,z'
'-x,-y,-z'
'-x,y,-z'
'x,-y,z'
'x+1/2,y+1/2,z'
'-x+1/2,-y+1/2,-z'
'-x+1/2,y+1/2,-z'
'x+1/2,-y+1/2,z'
loop_
_atom_site_label
_atom_site_fract_x
_atom_site_fract_y
_atom_site_fract_z
_atom_site_occupancy
K1 0.000 0.000 0.000 1
Ca1 0.000 0.500 0.500 1
Ru1 0.245 0.500 0.415 1
```

Which structure is most stable? P, by 20.5 kJ/mol of atoms over the runner-up.